Nd2Ga5Pt: relaxed, PBE.

abc: 6.2820 6.2820 6.2820
angles: 88.47 120.89 120.89
Last column: nearest neighbours and their distance in Å.
Positions (direct):
Ga  0.0000  0.2667  0.2667  1 Pt 2.52, 4 Ga 2.77
Ga  0.4239  0.7063  0.7063  1 Pt 2.53, 3 Ga 2.63-2.77
Ga  0.5761  0.2824  0.2824  1 Pt 2.53, 3 Ga 2.63-2.77
Ga  0.0000  0.2824  0.7063  1 Pt 2.53, 3 Ga 2.63-2.77
Ga  0.0000  0.7063  0.2824  1 Pt 2.53, 3 Ga 2.63-2.77
Nd  0.5000  0.2456  0.7456  10 Ga 3.10-3.17
Nd  0.5000  0.7456  0.2456  10 Ga 3.10-3.17
Pt  0.0000  0.9867  0.9867  5 Ga 2.52-2.53

Values from the calculation:
**Volume**: 21.6 Å³/atom
**Spin magnetization**: 0.000 μB per atom
**Formation energy from the elements**: -466.6 kJ/mol of formula units